{"formula": "Pm12DyTm2", "functional": "PBE", "state": "optimized geometry", "volume_a3_per_cell": 1024.7, "e_form_mev_per_atom": 161, "lattice": [[6.6108, -1.5502, 0.0000], [-1.5502, 6.6108, 0.0000], [-0.0001, -0.0001, 24.8115]], "species": ["Pm", "Pm", "Pm", "Pm", "Pm", "Pm", "Pm", "Pm", "Pm", "Pm", "Pm", "Pm", "Pm", "Pm", "Pm", "Pm", "Pm", "Pm", "Pm", "Pm", "Pm", "Pm", "Pm", "Pm", "Dy", "Dy", "Tm", "Tm", "Tm", "Tm"], "frac_coords": [[0.5000, 0.5000, 0.8013], [0.0000, 0.0000, 0.8013], [0.7516, 0.7484, 0.9258], [0.2511, 0.7511, 0.8696], [0.0000, 0.0000, 0.3242], [0.2489, 0.7489, 0.1304], [0.7681, 0.2681, 0.5865], [0.5000, 0.5000, 0.3242], [0.2484, 0.2516, 0.9258], [0.7484, 0.7516, 0.0742], [0.2733, 0.2267, 0.5603], [0.7319, 0.2319, 0.4135], [0.0000, 0.0000, 0.6758], [0.2267, 0.2733, 0.4397], [0.2516, 0.2484, 0.0742], [0.7733, 0.7267, 0.4397], [0.7267, 0.7733, 0.5603], [0.0000, 0.0000, 0.1987], [0.2319, 0.7319, 0.5865], [0.5000, 0.5000, 0.6758], [0.7489, 0.2489, 0.8696], [0.5000, 0.5000, 0.1987], [0.2681, 0.7681, 0.4135], [0.7511, 0.2511, 0.1304], [0.5000, 0.0000, 0.9992], [0.0000, 0.5000, 0.0008], [0.5000, 0.0000, 0.2663], [0.0000, 0.5000, 0.2698], [0.0000, 0.5000, 0.7337], [0.5000, 0.0000, 0.7302]]}